Material: MnGaOs2N
Method: DFT, GGA-PBE
State: relaxed

The space group is P4/mmm (No. 123) and the conventional cell measures 4.530, 4.530 and 4.358 Å, with angles of 90.00, 90.00 and 90.00 degrees. The distinct sites, in fractional coordinates, are Mn at (0.000, 0.000, 0.000), Ga at (0.000, 0.000, 0.500), Os at (0.000, 0.500, 0.500) and N at (0.500, 0.500, 0.000).

The value obtained for the formation energy from raw total energies is 3063 meV per atom. The density of states at the Fermi level is 1.7137 states/eV/atom. The volume comes out at 17.9 A^3/atom.

=====

Material: NaAlNi2
Method: DFT, GGA-PBE
State: relaxed

The space group is I-42d (No. 122) and the conventional cell measures 6.802, 6.802 and 5.409 Å, with angles of 90.00, 90.00 and 90.00 degrees. The distinct sites, in fractional coordinates, are Na at (0.000, 0.000, 0.000), Al at (0.000, 0.000, 0.500) and Ni at (0.212, 0.250, 0.625).

The density of states at the Fermi level is 0.4217 states/eV/atom. The value obtained for the energy relative to the elements is 0.36 eV/atom. The volume comes out at 15.6 A^3/atom.

=====

Material: Tl2Ag2Bi
Method: DFT, GGA-PBE
State: relaxed

The space group is I4/mmm (No. 139) and the conventional cell measures 3.834, 3.834 and 19.011 Å, with angles of 90.00, 90.00 and 90.00 degrees. The distinct sites, in fractional coordinates, are Tl at (0.000, 0.000, 0.114), Ag at (0.000, 0.500, 0.250) and Bi at (0.000, 0.000, 0.500).

The density of states at the Fermi level is 0.2841 states/eV/atom. The value obtained for the energy relative to the elements is 0.15 eV/atom. The volume comes out at 27.9 A^3/atom.

=====

Material: Tb3Hg
Method: DFT, GGA-PBE
State: relaxed

The space group is I4/mmm (No. 139) and the conventional cell measures 4.748, 4.748 and 9.906 Å, with angles of 90.00, 90.00 and 90.00 degrees. The distinct sites, in fractional coordinates, are Tb at (0.000, 0.000, 0.000), Tb at (0.000, 0.500, 0.250) and Hg at (0.000, 0.000, 0.500).

The density of states at the Fermi level is 1.2325 states/eV/atom. The value obtained for the energy relative to the elements is -0.14 eV/atom. The volume comes out at 27.9 A^3/atom.